Computed, not measured: a geometry-optimized TaTl2InF structure at the GGA-PBE level of DFT.

Output
* ρ: 7.09 g cm⁻³
* E_form (uncorrected): 416.2 meV per atom
* calculated total energy: -19.114 eV/cell
* density of states at the Fermi level: 5.27 states/eV/cell
* total magnetic moment: 2.28 Bohr magnetons per cell

The structure in CIF format:
```
data_TaTl2InF
_cell_length_a 5.542
_cell_length_b 5.542
_cell_length_c 5.516
_cell_angle_alpha 90.00
_cell_angle_beta 90.00
_cell_angle_gamma 90.00
_space_group_name_H-M_alt 'P 4/m m m'
_space_group_IT_number 123
_space_group_name_Hall '-P 4 2'
loop_
_atom_site_label
_atom_site_type_symbol
_atom_site_fract_x
_atom_site_fract_y
_atom_site_fract_z
Ta1 Ta 0.000 0.000 0.000
Tl1 Tl 0.000 0.500 0.000
In1 In 0.000 0.000 0.500
F1 F 0.500 0.500 0.500
```